VASP calculation (GGA-PBE) on a geometry-optimized TbZnAgPd structure.

It has space group F-43m (No. 216), with a = 6.754 Å, b = 6.754 Å, c = 6.754 Å, α = 90.00°, β = 90.00° and γ = 90.00°. The inequivalent atoms are Tb at (0.000, 0.000, 0.000), Zn at (0.000, 0.000, 0.500), Ag at (0.250, 0.250, 0.250) and Pd at (0.250, 0.250, 0.750).

The total energy is -3.93 eV per atom.